MnRe2F: relaxed, PBE+U.

abc: 7.4963 7.4963 5.7413
angles: 49.24 49.24 90.00
Site moments in Bohr magnetons follow the coordinates.
Atoms (fractional coordinates):
Re  0.5510  0.1250  0.2500  -0.31
Re  0.1990  0.6250  0.2500  -0.32
Re  0.3750  0.4490  0.7500  -0.29
Re  0.8750  0.8010  0.7500  -0.29
Mn  0.0000  0.0000  0.0000  4.42
Mn  0.7500  0.2500  0.5000  4.42
F  0.5000  0.5000  0.0000  0.02
F  0.2500  0.7500  0.5000  0.02

Values from the calculation:
- Volume: 15.49 Å³ per atom
- Energy above the most stable polymorph in this dataset: 0.00 eV per formula unit
- Crystal system: tetragonal
- Total magnetic moment: 3.9 μB/f.u.
- Raw total energy: -7.87 eV per atom